No. 1
Computed, not measured: a relaxed structure of Mg2ZrAl2 at the GGA-PBE level of DFT.

extended XYZ file:
```
5
Lattice="-1.517 -2.310 -2.958 -2.371 -1.883 2.687 -6.401 2.100 -1.127" Properties=species:S:1:pos:R:3 pbc="T T T"
Mg -4.931 -1.153 -2.110
Mg -5.358 -0.940 0.712
Al -2.807 -1.284 -0.327
Al -7.483 -0.809 -1.070
Zr 0.000 0.000 0.000
```

Summary:
Uncorrected energy (Ry/atom): -0.2831
Calculated volume (Å³ per cell): 102
Density (g cm⁻³): 3.2
DOS at the Fermi energy (states/eV/atom): 0.4327


No. 2
Computed, not measured: a relaxed structure of ZrTa2C2 at the GGA-PBE level of DFT.

extended XYZ file:
```
5
Lattice="-3.020 -0.151 1.181 -1.547 1.604 -3.750 1.816 -5.360 -0.505" Properties=species:S:1:pos:R:3 pbc="T T T"
Zr 0.000 0.000 0.000
Ta -2.456 -0.983 -1.944
Ta -0.295 -2.925 -1.129
C -1.083 -2.260 -3.057
C -1.669 -1.648 -0.016
```

Summary:
Uncorrected energy (Ry/atom): -0.7938
Calculated volume (Å³ per cell): 71
Density (g cm⁻³): 11.2
DOS at the Fermi energy (states/eV/atom): 0.4085


No. 3
Computed, not measured: a relaxed structure of PuThTe2 at the GGA-PBE level of DFT.

extended XYZ file:
```
4
Lattice="-1.395 -0.384 -3.978 -1.166 -3.792 -1.477 -8.392 -0.054 0.695" Properties=species:S:1:pos:R:3 pbc="T T T"
Pu -10.045 -2.848 -2.960
Th -5.519 -2.108 -2.366
Te -6.566 -0.378 0.086
Te -2.692 -1.066 -1.206
```

Summary:
Uncorrected energy (Ry/atom): -0.5916
ΔE_f (raw) (eV/atom): -1.041
Calculated volume (Å³ per cell): 125
Density (g cm⁻³): 9.7
DOS at the Fermi energy (states/eV/atom): 2.6289


No. 4
Computed, not measured: a relaxed structure of BeTcSb at the GGA-PBE level of DFT.

extended XYZ file:
```
3
Lattice="-3.686 -3.022 -0.251 -1.036 -4.404 -1.523 0.108 -2.084 2.489" Properties=species:S:1:pos:R:3 pbc="T T T"
Sb -1.489 -3.850 1.079
Tc -3.039 -5.564 -0.288
Be 0.022 -2.179 2.413
```

Summary:
Uncorrected energy (Ry/atom): -0.4507
ΔE_f (raw) (eV/atom): -0.060
Calculated volume (Å³ per cell): 44
Density (g cm⁻³): 8.6
DOS at the Fermi energy (states/eV/atom): 0.0526


No. 5
Computed, not measured: a relaxed structure of AlSnTeN2 at the GGA-PBE level of DFT.

extended XYZ file:
```
5
Lattice="-1.920 -0.346 -3.606 1.799 -3.634 -0.609 -4.842 -2.875 2.855" Properties=species:S:1:pos:R:3 pbc="T T T"
N 0.899 -1.817 -0.304
N -0.960 -0.173 -1.803
Te -2.421 -1.438 1.427
Sn 0.000 0.000 0.000
Al -2.482 -3.428 -0.680
```

Summary:
Uncorrected energy (Ry/atom): -0.3169
ΔE_f (raw) (eV/atom): 1.196
Calculated volume (Å³ per cell): 106
Density (g cm⁻³): 4.7
DOS at the Fermi energy (states/eV/atom): 0.5824


No. 6
Computed, not measured: a relaxed structure of ZrAu2Se at the GGA-PBE level of DFT.

extended XYZ file:
```
4
Lattice="-5.543 -2.508 1.606 -2.770 -5.040 2.553 1.134 2.321 2.882" Properties=species:S:1:pos:R:3 pbc="T T T"
Au -0.016 -0.012 0.016
Au -3.573 -2.602 3.504
Se -5.384 -3.920 5.280
Zr -1.795 -1.307 1.760
```

Summary:
Uncorrected energy (Ry/atom): -0.3764
ΔE_f (raw) (eV/atom): -0.475
Calculated volume (Å³ per cell): 85
Density (g cm⁻³): 11.0
DOS at the Fermi energy (states/eV/atom): 0.3104


No. 7
Computed, not measured: a relaxed structure of HoBe2CoSi at the GGA-PBE level of DFT.

extended XYZ file:
```
5
Lattice="-3.074 -2.098 -0.881 2.265 -2.699 -1.473 0.632 0.309 5.356" Properties=species:S:1:pos:R:3 pbc="T T T"
Ho 0.203 -1.856 3.713
Be -1.450 -1.843 1.147
Be 0.032 -0.297 0.593
Co 1.218 -2.135 0.834
Si -0.259 -3.732 1.489
```

Summary:
Uncorrected energy (Ry/atom): -0.3889
ΔE_f (raw) (eV/atom): -0.380
Calculated volume (Å³ per cell): 68
Density (g cm⁻³): 6.6
DOS at the Fermi energy (states/eV/atom): 0.6439


No. 8
Computed, not measured: a relaxed structure of CuPd6Au at the GGA-PBE level of DFT.

extended XYZ file:
```
8
Lattice="6.904 0.281 -0.157 3.685 6.403 -0.025 3.434 2.286 2.912" Properties=species:S:1:pos:R:3 pbc="T T T"
Cu 7.012 4.485 1.365
Pd 11.159 5.183 2.236
Pd 11.334 8.077 2.108
Pd 5.297 2.468 0.847
Pd 2.689 0.893 0.622
Pd 2.864 3.787 0.494
Pd 8.726 6.502 1.883
Au 0.000 0.000 0.000
```

Summary:
Uncorrected energy (Ry/atom): -0.3480
Calculated volume (Å³ per cell): 128
Density (g cm⁻³): 11.6
DOS at the Fermi energy (states/eV/atom): 1.6660